A plane-wave DFT calculation with GGA-PBE was carried out for KInF2 after structural relaxation.

```
KInF2
1.0
3.2723 0.0000 0.0000
0.0000 3.2723 0.0000
0.0000 0.0000 6.8168
K F In
1 2 1
direct
0.5000 0.5000 0.5000 K
0.0000 0.0000 0.7351 F
0.0000 0.0000 0.2649 F
0.5000 0.5000 0.0000 In
```

- VASP energy: -3.93 eV per atom
- Uncorrected formation energy: -2.0400 eV/atom
- Magnetization: 0.0 μB/f.u.
- Density of states at the Fermi level: 0.00 states/eV/cell